A geometry-optimized Ac2NiBi structure. Source: Alexandria via LeMat-Bulk, functional PBE.

Cell and atoms, written as POSCAR:
```
Ac2NiBi
1.0
3.825 0.000 0.000
0.000 3.825 0.000
0.000 0.000 8.360
Ac Ni Bi
2 1 1
Direct
0.000 0.000 0.213
0.000 0.000 0.787
0.500 0.500 0.000
0.500 0.500 0.500
```

Summary:
E above lowest polymorph (meV per atom): 65
Symmetry: P4/mmm, No. 123
ΔE_f (eV/atom): -0.374